Below is a relaxed BaBTe3 crystal, with properties calculated at the PBE level.

Geometry as POSCAR:
```
BaBTe3
1.0
6.6655 0.0000 0.0000
0.0000 6.6655 0.0000
0.0000 0.0000 6.6655
Ba B Te
1 1 3
direct
0.0000 0.0000 0.0000
0.5000 0.5000 0.5000
0.0000 0.0000 0.5000
0.0000 0.5000 0.0000
0.5000 0.0000 0.0000
```

Values from the calculation:
Distance to the lowest polymorph of the same formula   1356 meV/atom
Space-group type   No. 221
Raw total energy   -11.82 eV per formula unit
Uncorrected formation energy   1.242 eV/atom



Below is a relaxed Pu2CoPb crystal, with properties calculated at the PBE level.

Geometry as POSCAR:
```
Pu2CoPb
1.0
3.2724 0.0000 0.0000
0.0000 3.2724 0.0000
0.0000 0.0000 8.6322
Pu Co Pb
2 1 1
direct
0.0000 0.0000 0.1936
0.0000 0.0000 0.8064
0.5000 0.5000 0.0000
0.5000 0.5000 0.5000
```

Values from the calculation:
Distance to the lowest polymorph of the same formula   0 meV/atom
Energy of formation from the pure elements   -0.05 eV per atom
Space-group type   No. 123
Raw total energy   -39.68 eV per formula unit



Below is a relaxed Mg2ScSb crystal, with properties calculated at the PBE level.

Geometry as POSCAR:
```
Mg2ScSb
1.0
2.9888 -4.7994 0.0000
2.9888 4.7994 0.0000
0.0000 0.0000 3.3075
Mg Sc Sb
2 1 1
direct
0.0000 0.5000 0.0000
0.5000 0.0000 0.0000
0.0000 0.0000 0.5000
0.5000 0.5000 0.5000
```

Values from the calculation:
Space-group type   No. 65
Raw total energy   -14.48 eV per formula unit
Uncorrected formation energy   -0.209 eV/atom



Below is a relaxed CaAsRu2 crystal, with properties calculated at the PBE level.

Geometry as POSCAR:
```
CaAsRu2
1.0
-1.9538 1.9538 4.3180
1.9538 -1.9538 4.3180
1.9538 1.9538 -4.3180
Ca As Ru
1 1 2
direct
0.0000 0.0000 0.0000
0.7500 0.2500 0.5000
0.2500 0.7500 0.5000
0.5000 0.5000 0.0000
```

Values from the calculation:
Energy of formation from the pure elements   0.19 eV per atom
Space-group type   No. 119
Raw total energy   -24.44 eV per formula unit



Below is a relaxed LiSc2Pd4 crystal, with properties calculated at the PBE level.

Geometry as POSCAR:
```
LiSc2Pd4
1.0
-2.1115 2.1115 6.8705
2.1115 -2.1115 6.8705
2.1115 2.1115 -6.8705
Li Sc Pd
1 2 4
direct
0.0000 0.0000 0.0000
0.3558 0.3558 0.0000
0.6442 0.6442 0.0000
0.0000 0.5000 0.5000
0.1691 0.1691 0.0000
0.5000 0.0000 0.5000
0.8309 0.8309 0.0000
```

Values from the calculation:
Distance to the lowest polymorph of the same formula   271 meV/atom
Energy of formation from the pure elements   -0.37 eV per atom
Space-group type   No. 139
Raw total energy   -37.97 eV per formula unit



Below is a relaxed Si2IrAu crystal, with properties calculated at the PBE level.

Geometry as POSCAR:
```
Si2IrAu
1.0
1.3907 -2.4749 0.0000
1.3907 2.4749 0.0000
0.0000 0.0000 9.2319
Si Ir Au
2 1 1
direct
0.0000 0.0000 0.2254
0.0000 0.0000 0.7746
0.5000 0.5000 0.0000
0.5000 0.5000 0.5000
```

Values from the calculation:
Distance to the lowest polymorph of the same formula   393 meV/atom
Space-group type   No. 65
Raw total energy   -22.26 eV per formula unit
Uncorrected formation energy   0.182 eV/atom



Below is a relaxed RhSeN crystal, with properties calculated at the PBE level.

Geometry as POSCAR:
```
RhSeN
1.0
2.6623 -3.7403 0.0000
2.6623 3.7403 0.0000
-0.7620 0.0000 5.3376
Rh Se N
2 2 2
direct
0.0702 0.0702 0.2529
0.9298 0.9298 0.7471
0.0000 0.5000 0.0000
0.5000 0.0000 0.0000
0.3917 0.3917 0.4730
0.6083 0.6083 0.5270
```

Values from the calculation:
Distance to the lowest polymorph of the same formula   228 meV/atom
Space-group type   No. 12
Raw total energy   -18.43 eV per formula unit
Uncorrected formation energy   0.242 eV/atom



Below is a relaxed KAc3As4O12 crystal, with properties calculated at the PBE level.

Geometry as POSCAR:
```
KAc3As4O12
1.0
6.0759 3.5079 3.2849
-6.0759 3.5079 3.2849
0.0000 -7.0158 3.2849
K Ac As O
1 3 4 12
direct
0.0000 0.0000 0.0000
0.0000 0.5567 0.4433
0.4433 0.0000 0.5567
0.5567 0.4433 0.0000
0.0645 0.5000 0.9355
0.5000 0.5000 0.5000
0.5000 0.9355 0.0645
0.9355 0.0645 0.5000
0.0095 0.2316 0.3847
0.0811 0.9189 0.5000
0.2316 0.3847 0.0095
0.3392 0.6608 0.5000
0.3847 0.0095 0.2316
0.5000 0.0811 0.9189
0.5000 0.3392 0.6608
0.6153 0.7684 0.9905
0.6608 0.5000 0.3392
0.7684 0.9905 0.6153
0.9189 0.5000 0.0811
0.9905 0.6153 0.7684
```

Values from the calculation:
Space-group type   No. 155
Raw total energy   -127.22 eV per formula unit
Uncorrected formation energy   -1.785 eV/atom



| no. | magnetic moment (μB per cell) |
| --- | --- |
| 1 | 3.000 |
| 2 | 10.192 |
| 3 | 0.000 |
| 4 | 0.001 |
| 5 | 0.000 |
| 6 | 0.000 |
| 7 | 0.000 |
| 8 | 0.000 |